No. 1
DyNpBi (PBE, relaxed); calculated total energy = -6.63 eV/atom
1.0
0.000 3.671 3.671
3.671 0.000 3.671
3.671 3.671 0.000
Dy Np Bi
1 1 1
direct
0.000 0.000 0.000
0.250 0.250 0.250
0.750 0.750 0.750



No. 2
CsNiW (PBE, relaxed); calculated total energy = -4.10 eV/atom
1.0
0.000 3.221 3.221
3.221 0.000 3.221
3.221 3.221 0.000
Cs Ni W
1 1 1
direct
0.000 0.000 0.000
0.500 0.500 0.500
0.250 0.250 0.250



No. 3
BaAlIn2Au (PBE, relaxed); calculated total energy = -3.35 eV/atom
1.0
-2.361 2.361 5.939
2.361 -2.361 5.939
2.361 2.361 -5.939
Ba Al In Au
1 1 2 1
direct
0.000 0.000 0.000
0.609 0.609 0.000
0.252 0.752 0.500
0.752 0.252 0.500
0.395 0.395 0.000



No. 4
TbY4Bi5 (PBE, relaxed); calculated total energy = -5.98 eV/atom
1.0
-2.235 2.235 15.805
2.235 -2.235 15.805
2.235 2.235 -15.805
Tb Y Bi
1 4 5
direct
0.000 0.000 0.000
0.200 0.200 0.000
0.400 0.400 0.000
0.600 0.600 0.000
0.800 0.800 0.000
0.100 0.100 0.000
0.300 0.300 0.000
0.500 0.500 0.000
0.700 0.700 0.000
0.900 0.900 0.000



No. 5
NiMoPd (PBE, relaxed); DFT formation energy = -0.0389 eV per atom; calculated total energy = -7.24 eV/atom
1.0
5.175 0.000 0.000
0.000 4.068 0.000
0.000 0.000 7.823
Ni Mo Pd
4 4 4
direct
0.177 0.250 0.111
0.323 0.750 0.611
0.677 0.250 0.389
0.823 0.750 0.889
0.065 0.250 0.778
0.435 0.750 0.278
0.565 0.250 0.722
0.935 0.750 0.222
0.173 0.250 0.437
0.327 0.750 0.937
0.673 0.250 0.063
0.827 0.750 0.563



No. 6
TbErH4 (PBE, relaxed); calculated total energy = -4.48 eV/atom
1.0
3.640 0.000 0.000
0.000 3.640 0.000
0.000 0.000 5.140
Tb Er H
1 1 4
direct
0.000 0.000 0.000
0.500 0.500 0.500
0.000 0.500 0.256
0.000 0.500 0.744
0.500 0.000 0.256
0.500 0.000 0.744



No. 7
Zr4GePC2 (PBE, relaxed); calculated total energy = -8.77 eV/atom
1.0
3.407 0.000 0.000
-1.704 2.951 0.000
0.000 0.000 12.977
Zr Ge P C
4 1 1 2
direct
0.000 0.000 0.139
0.000 0.000 0.861
0.667 0.333 0.335
0.667 0.333 0.665
0.000 0.000 0.500
0.667 0.333 0.000
0.333 0.667 0.240
0.333 0.667 0.760



No. 8
RbPrNd (PBE, relaxed); calculated total energy = -2.35 eV/atom
1.0
0.000 4.351 4.351
4.351 0.000 4.351
4.351 4.351 0.000
Rb Pr Nd
1 1 1
direct
0.000 0.000 0.000
0.500 0.500 0.500
0.750 0.750 0.750